! GGA-PBE RbIrPbBr6, relaxed; values from VASP
&SYSTEM
  ibrav = 0, nat = 18, ntyp = 4
/
ATOMIC_SPECIES
Rb 85.47 Rb.upf
Ir 192.22 Ir.upf
Pb 207.20 Pb.upf
Br 79.90 Br.upf
CELL_PARAMETERS angstrom
7.4474 0.0000 0.0000
-3.7237 6.4497 0.0000
0.0000 0.0000 14.3550
ATOMIC_POSITIONS crystal
Rb 0.0000 0.0000 0.0000
Rb 0.0000 0.0000 0.5000
Ir 0.3333 0.6667 0.2500
Ir 0.6667 0.3333 0.7500
Pb 0.3333 0.6667 0.7500
Pb 0.6667 0.3333 0.2500
Br 0.0552 0.3982 0.1464
Br 0.0552 0.6570 0.3536
Br 0.3430 0.3982 0.3536
Br 0.3430 0.9448 0.1464
Br 0.3982 0.0552 0.6464
Br 0.3982 0.3430 0.8536
Br 0.6018 0.6570 0.1464
Br 0.6018 0.9448 0.3536
Br 0.6570 0.0552 0.8536
Br 0.6570 0.6018 0.6464
Br 0.9448 0.3430 0.6464
Br 0.9448 0.6018 0.8536
! - SG: No. 163
! - Final energy: -30.63 eV/f.u.

! GGA-PBE IrPbS2Br, relaxed; values from VASP
&SYSTEM
  ibrav = 0, nat = 5, ntyp = 4
/
ATOMIC_SPECIES
Ir 192.22 Ir.upf
Pb 207.20 Pb.upf
S 32.06 S.upf
Br 79.90 Br.upf
CELL_PARAMETERS angstrom
5.1561 0.0000 0.0000
0.0000 5.1561 0.0000
0.0000 0.0000 5.3942
ATOMIC_POSITIONS crystal
Ir 0.0000 0.0000 0.0000
Pb 0.0000 0.0000 0.5000
S 0.0000 0.5000 0.5000
S 0.5000 0.0000 0.5000
Br 0.5000 0.5000 0.0000
! - SG: No. 123
! - Final energy: -15.59 eV/f.u.

! GGA-PBE SbIrPbBr2, relaxed; values from VASP
&SYSTEM
  ibrav = 0, nat = 5, ntyp = 4
/
ATOMIC_SPECIES
Sb 121.76 Sb.upf
Ir 192.22 Ir.upf
Pb 207.20 Pb.upf
Br 79.90 Br.upf
CELL_PARAMETERS angstrom
5.5036 0.0000 0.0000
0.0000 5.5036 0.0000
0.0000 0.0000 6.2204
ATOMIC_POSITIONS crystal
Sb 0.0000 0.0000 0.0000
Ir 0.5000 0.5000 0.0000
Pb 0.0000 0.0000 0.5000
Br 0.0000 0.5000 0.5000
Br 0.5000 0.0000 0.5000
! - SG: No. 123
! - Final energy: -14.12 eV/f.u.

! GGA-PBE IrPbSeBr2, relaxed; values from VASP
&SYSTEM
  ibrav = 0, nat = 5, ntyp = 4
/
ATOMIC_SPECIES
Ir 192.22 Ir.upf
Pb 207.20 Pb.upf
Se 78.96 Se.upf
Br 79.90 Br.upf
CELL_PARAMETERS angstrom
5.0869 0.0000 0.0000
0.0000 5.0869 0.0000
0.0000 0.0000 5.0276
ATOMIC_POSITIONS crystal
Ir 0.0000 0.0000 0.0000
Pb 0.5000 0.5000 0.5000
Se 0.0000 0.0000 0.5000
Br 0.0000 0.5000 0.0000
Br 0.5000 0.0000 0.0000
! - SG: No. 123
! - Distance to the lowest polymorph of the same formula: 0.0 meV per atom
! - Final energy: -19.10 eV/f.u.

! GGA-PBE IrPbSe2Br, relaxed; values from VASP
&SYSTEM
  ibrav = 0, nat = 5, ntyp = 4
/
ATOMIC_SPECIES
Ir 192.22 Ir.upf
Pb 207.20 Pb.upf
Se 78.96 Se.upf
Br 79.90 Br.upf
CELL_PARAMETERS angstrom
4.9909 0.0000 0.0000
0.0000 4.9909 0.0000
0.0000 0.0000 5.0825
ATOMIC_POSITIONS crystal
Ir 0.0000 0.0000 0.0000
Pb 0.5000 0.5000 0.5000
Se 0.0000 0.5000 0.0000
Se 0.5000 0.0000 0.0000
Br 0.0000 0.0000 0.5000
! - SG: No. 123
! - Distance to the lowest polymorph of the same formula: 0.0 meV per atom
! - Final energy: -20.69 eV/f.u.

! GGA-PBE TcIr2PbBr, relaxed; values from VASP
&SYSTEM
  ibrav = 0, nat = 5, ntyp = 4
/
ATOMIC_SPECIES
Tc 98.00 Tc.upf
Ir 192.22 Ir.upf
Pb 207.20 Pb.upf
Br 79.90 Br.upf
CELL_PARAMETERS angstrom
4.7598 0.0000 0.0000
0.0000 4.7598 0.0000
0.0000 0.0000 5.1376
ATOMIC_POSITIONS crystal
Tc 0.0000 0.0000 0.0000
Ir 0.0000 0.5000 0.0000
Ir 0.5000 0.0000 0.0000
Pb 0.5000 0.5000 0.5000
Br 0.0000 0.0000 0.5000
! - SG: No. 123
! - Final energy: -28.35 eV/f.u.